Entry 1:
20
Lattice="-5.6112 5.6112 5.6112 5.6112 -5.6112 5.6112 5.6112 5.6112 -5.6112" Properties=species:S:1:pos:R:3 comment="Dy7Ho12Pu | the Alexandria database | PBE-GGA | optimized geometry" crystal_system=cubic total_magnetization_mub_per_cell=6.508 dos_ef_per_ev_atom=1.84 final_energy_ev_per_atom=-4.323 e_form_ev_per_fu=15.0 pbc="T T T"
Dy 2.8056 2.8056 -2.8056
Dy 2.8056 -2.8056 2.8056
Dy 5.6112 0.0000 0.0000
Dy -2.8056 2.8056 2.8056
Dy 0.0000 5.6112 0.0000
Dy 0.0000 0.0000 5.6112
Dy 2.8056 2.8056 2.8056
Ho 5.6112 2.8103 -2.8103
Ho 5.6112 -2.8103 2.8103
Ho 2.8103 5.6112 -2.8103
Ho 2.8009 2.8009 0.0000
Ho 2.8009 0.0000 2.8009
Ho 2.8103 -2.8103 5.6112
Ho 0.0000 2.8009 2.8009
Ho 5.6112 2.8103 2.8103
Ho -2.8103 5.6112 2.8103
Ho -2.8103 2.8103 5.6112
Ho 2.8103 5.6112 2.8103
Ho 2.8103 2.8103 5.6112
Pu 0.0000 0.0000 0.0000


Entry 2:
5
Lattice="4.7933 0.0000 0.0000 0.0000 4.7933 0.0000 0.0000 0.0000 4.7933" Properties=species:S:1:pos:R:3 comment="CdCu3B | the Alexandria database | PBE-GGA | optimized geometry" crystal_system=cubic total_magnetization_mub_per_cell=0.000 dos_ef_per_ev_atom=0.44 final_energy_ev_per_atom=-2.170 e_form_ev_per_fu=9.0 pbc="T T T"
Cd 0.0000 0.0000 0.0000
Cu 0.0000 0.0000 2.3967
Cu 0.0000 2.3967 0.0000
Cu 2.3967 0.0000 0.0000
B 2.3967 2.3967 2.3967


Entry 3:
16
Lattice="3.7232 0.0000 0.0000 0.0000 6.4299 0.0000 0.0000 0.0000 8.8970" Properties=species:S:1:pos:R:3 comment="CeNi5P2 | the Alexandria database | PBE-GGA | optimized geometry" crystal_system=orthorhombic total_magnetization_mub_per_cell=0.001 dos_ef_per_ev_atom=1.22 final_energy_ev_per_atom=-6.408 e_form_ev_per_fu=-5.6 pbc="T T T"
Ce 0.0000 0.0000 0.0000
Ce 1.8616 3.2150 4.4485
Ni 0.0000 1.2196 3.0958
Ni 0.0000 1.2196 5.8012
Ni 0.0000 3.2150 0.0000
Ni 0.0000 5.2104 3.0958
Ni 0.0000 5.2104 5.8012
Ni 1.8616 0.0000 4.4485
Ni 1.8616 1.9954 1.3527
Ni 1.8616 1.9954 7.5443
Ni 1.8616 4.4345 1.3527
Ni 1.8616 4.4345 7.5443
P 0.0000 3.2150 2.1683
P 0.0000 3.2150 6.7287
P 1.8616 0.0000 2.2802
P 1.8616 0.0000 6.6168


Entry 4:
14
Lattice="7.1384 0.0000 0.0000 0.0000 7.0866 0.0000 -2.6924 0.0000 8.9400" Properties=species:S:1:pos:R:3 comment="KAcGeSe4 | the Alexandria database | PBE-GGA | optimized geometry" crystal_system=monoclinic total_magnetization_mub_per_cell=0.000 final_energy_ev_per_atom=-4.602 e_form_raw_ev_per_atom=-1.21 pbc="T T T"
K 0.5607 1.7716 3.9138
K 3.8853 5.3149 5.0262
Ac -0.6660 1.7716 8.4430
Ac 5.1120 5.3149 0.4970
Ge 1.5312 5.3149 1.6785
Ge 2.9148 1.7716 7.2615
Se -0.3258 5.3149 3.1256
Se -1.7636 5.3149 8.2974
Se 1.4599 3.6184 6.8964
Se 1.4599 7.0115 6.8964
Se 2.9861 0.0751 2.0436
Se 2.9861 3.4682 2.0436
Se 6.2096 1.7716 0.6426
Se 4.7718 1.7716 5.8144


Entry 5:
5
Lattice="5.3296 0.0000 0.0000 0.0000 5.3296 0.0000 0.0000 0.0000 5.2337" Properties=species:S:1:pos:R:3 comment="TcSbAsI2 | the Alexandria database | PBE-GGA | optimized geometry" crystal_system=tetragonal total_magnetization_mub_per_cell=0.692 dos_ef_per_ev_atom=1.10 final_energy_ev_per_atom=-3.631 e_form_raw_ev_per_atom=0.82 pbc="T T T"
Tc 0.0000 0.0000 0.0000
Sb 0.0000 0.0000 2.6169
As 2.6648 2.6648 2.6169
I 0.0000 2.6648 0.0000
I 2.6648 0.0000 0.0000


Entry 6:
16
Lattice="5.9016 0.0000 0.0000 0.0000 5.9016 0.0000 0.0000 0.0000 5.9016" Properties=species:S:1:pos:R:3 comment="BeFeMoPt | the Alexandria database | PBE-GGA | optimized geometry" crystal_system=cubic total_magnetization_mub_per_cell=7.191 dos_ef_per_ev_atom=0.32 final_energy_ev_per_atom=-7.441 e_form_ev_per_fu=-0.7 pbc="T T T"
Be 0.0000 0.0000 0.0000
Be 0.0000 2.9508 2.9508
Be 2.9508 0.0000 2.9508
Be 2.9508 2.9508 0.0000
Fe 0.0000 0.0000 2.9508
Fe 0.0000 2.9508 0.0000
Fe 2.9508 0.0000 0.0000
Fe 2.9508 2.9508 2.9508
Mo 1.4754 1.4754 1.4754
Mo 1.4754 4.4262 4.4262
Mo 4.4262 1.4754 4.4262
Mo 4.4262 4.4262 1.4754
Pt 1.4754 1.4754 4.4262
Pt 1.4754 4.4262 1.4754
Pt 4.4262 1.4754 1.4754
Pt 4.4262 4.4262 4.4262


Entry 7:
12
Lattice="4.6322 0.0000 0.0000 0.0000 13.3873 0.0000 0.0000 0.0000 3.2799" Properties=species:S:1:pos:R:3 comment="Ta5Co | the Alexandria database | PBE-GGA | optimized geometry" crystal_system=orthorhombic total_magnetization_mub_per_cell=0.003 dos_ef_per_ev_atom=0.87 final_energy_ev_per_atom=-11.074 e_form_ev_per_fu=-0.1 pbc="T T T"
Ta 0.0000 0.0000 0.0000
Ta 0.0000 2.2279 1.6400
Ta 0.0000 4.5655 0.0000
Ta 0.0000 8.8218 0.0000
Ta 0.0000 11.1595 1.6400
Ta 2.3161 2.1281 0.0000
Ta 2.3161 4.4658 1.6400
Ta 2.3161 6.6937 0.0000
Ta 2.3161 8.9215 1.6400
Ta 2.3161 11.2592 0.0000
Co 0.0000 6.6937 1.6400
Co 2.3161 0.0000 1.6400


Entry 8:
19
Lattice="5.7687 3.3305 5.7192 -5.7687 3.3305 5.7192 0.0000 -6.6611 5.7192" Properties=species:S:1:pos:R:3 comment="La2Dy2Th15 | the Alexandria database | PBE-GGA | optimized geometry" crystal_system=trigonal total_magnetization_mub_per_cell=0.000 dos_ef_per_ev_atom=1.92 final_energy_ev_per_atom=-6.572 e_form_ev_per_fu=5.5 pbc="T T T"
La 0.0000 0.0000 1.8381
La 0.0000 0.0000 15.3196
Dy 0.0000 0.0000 6.2444
Dy 0.0000 0.0000 10.9133
Th -5.7687 0.0000 8.5789
Th -1.8452 -3.4652 5.7192
Th -2.8843 1.6653 2.8596
Th -3.9235 0.1346 5.7192
Th -2.7577 -1.5921 8.6022
Th 1.8452 -3.4652 5.7192
Th -2.0783 3.3305 5.7192
Th 0.0000 -3.1843 8.5555
Th -2.7577 1.5921 8.5555
Th 2.8843 1.6653 2.8596
Th 2.7577 -1.5921 8.6022
Th 0.0000 3.1843 8.6022
Th 3.9235 0.1346 5.7193
Th 2.0783 3.3305 5.7193
Th 2.7577 1.5921 8.5555